[1]
BaNaV, relaxed, DFT PBE-GGA; ΔE_f = 23.88 kcal/mol of atoms; E above lowest polymorph = 550 meV per atom
1.0
5.322 0.000 0.000
0.000 5.322 0.000
0.000 0.000 8.759
Ba Na V
2 2 2
Cartesian
1.330 3.991 0.000
3.991 1.330 0.000
1.330 1.330 3.128
3.991 3.991 5.631
1.330 1.330 6.467
3.991 3.991 2.292

***

[2]
Tb2Ho3TmSe6, relaxed, DFT PBE-GGA; energy relative to the elements, uncorrected = -1728 meV/atom
1.0
8.850 -2.026 0.000
8.850 2.026 0.000
-1.901 0.000 7.928
Tb Ho Tm Se
2 3 1 6
Cartesian
2.341 0.000 2.664
13.459 0.000 5.264
1.409 0.000 6.607
7.900 0.000 3.964
14.391 0.000 1.322
8.850 0.000 0.000
-1.410 0.000 5.975
5.143 0.000 3.286
4.190 0.000 7.296
11.610 0.000 0.633
10.656 0.000 4.642
17.210 0.000 1.954

***

[3]
NdErCu, relaxed, DFT PBE-GGA; ΔE_f = -2.64 kcal/mol of atoms; E above lowest polymorph = 0 meV per atom
1.0
4.750 0.000 0.000
0.000 4.750 0.000
0.000 0.000 6.999
Nd Er Cu
2 2 2
Cartesian
1.188 1.188 0.789
3.563 3.563 6.210
1.188 3.563 3.500
3.563 1.188 3.500
1.188 1.188 5.028
3.563 3.563 1.972

***

[4]
ZrTePbO6, relaxed, DFT PBE-GGA; energy relative to the elements, uncorrected = -1826 meV/atom
1.0
5.511 0.000 0.000
-2.755 4.772 0.000
0.000 0.000 10.658
Zr Te Pb O
2 2 2 12
Cartesian
0.000 3.182 2.664
2.755 1.591 7.993
0.000 3.182 7.993
2.755 1.591 2.664
0.000 0.000 0.000
0.000 0.000 5.329
-0.950 1.867 6.890
-1.614 3.016 9.096
0.950 1.867 9.096
-0.664 4.662 6.890
2.091 0.111 1.561
1.141 1.756 3.767
1.614 3.016 6.890
0.664 4.662 9.096
3.419 0.111 3.767
1.805 2.906 1.561
4.369 1.756 1.561
3.705 2.906 3.767

***

[5]
Pm2BiMo, relaxed, DFT PBE-GGA; ΔE_f = 1.23 kcal/mol of atoms
1.0
5.058 0.000 0.000
0.000 5.058 0.000
0.000 0.000 4.091
Pm Bi Mo
2 1 1
Cartesian
0.000 2.529 0.000
2.529 0.000 0.000
0.000 0.000 2.045
2.529 2.529 2.045

***

[6]
Nd2Ho2Er7, relaxed, DFT PBE-GGA; ΔE_f = 3.44 kcal/mol of atoms; E above lowest polymorph = 0 meV per atom
1.0
6.055 0.000 0.000
-2.275 7.680 0.000
-2.277 -0.896 7.629
Nd Ho Er
2 2 7
Cartesian
-0.679 2.759 3.108
2.183 4.025 4.522
0.754 0.927 6.002
0.750 5.858 1.627
0.000 0.000 0.000
-1.982 2.321 7.149
-1.980 6.833 3.142
-0.955 5.233 5.886
2.459 1.552 1.743
3.484 -0.049 4.487
3.485 4.464 0.481

***

[7]
Hf2Bi2Pb, relaxed, DFT PBE-GGA; ΔE_f = -0.63 kcal/mol of atoms; E above lowest polymorph = 0 meV per atom
1.0
8.045 0.000 0.000
0.000 8.045 0.000
0.000 0.000 4.014
Hf Bi Pb
4 4 2
Cartesian
1.134 2.888 0.000
2.888 6.911 0.000
5.157 1.134 0.000
6.911 5.157 0.000
1.242 5.264 2.007
2.781 1.242 2.007
5.264 6.803 2.007
6.803 2.781 2.007
0.000 0.000 0.000
4.023 4.023 0.000

***

[8]
Pa2AsRu, relaxed, DFT PBE-GGA; ΔE_f = -16.40 kcal/mol of atoms; E above lowest polymorph = 0 meV per atom
1.0
5.852 0.000 0.000
0.000 3.969 0.000
-2.724 0.000 7.514
Pa As Ru
4 2 2
Cartesian
-0.015 0.992 3.041
1.445 2.976 0.480
1.683 0.992 7.033
3.143 2.976 4.473
0.288 2.976 5.226
2.840 0.992 2.288
-1.477 0.992 6.032
4.605 2.976 1.482

***

no.,DOS at the Fermi energy (states/eV/f.u.),total magnetic moment (μB per formula unit),DFT total energy (eV/atom)
1,6.40,4.520,-3.085
2,5.59,0.000,-5.759
3,3.13,0.000,-4.590
4,0.00,0.000,-6.842
5,6.05,0.054,-6.000
6,17.83,0.000,-4.454
7,3.58,0.000,-6.303
8,4.93,0.000,-8.941